Entry from the Alexandria database: a geometry-optimized AgPt2Au structure (PBE-GGA).

The structure in extended XYZ format:
```
8
Lattice="5.600 0.000 0.000 0.000 9.850 0.000 -1.364 0.000 2.433" Properties=species:S:1:pos:R:3 pbc="T T T"
Ag 0.000 0.000 0.000
Ag 2.800 4.925 0.000
Pt 0.718 2.463 1.217
Pt 0.718 7.388 1.217
Pt 3.518 2.463 1.217
Pt 3.518 7.388 1.217
Au 0.000 4.925 0.000
Au 2.800 0.000 0.000
```

Values from the calculation:
E: -4.5496 eV per atom
DFT formation energy: 0.01 eV/f.u.
E above lowest polymorph: 37 meV per atom
Calculated volume: 16.8 Å³/atom
Space-group type: C2/m



Entry from the Alexandria database: a geometry-optimized PuCo4GeH6 structure (PBE-GGA).

The structure in extended XYZ format:
```
12
Lattice="4.207 0.000 0.000 -2.103 3.643 0.000 0.000 0.000 6.647" Properties=species:S:1:pos:R:3 pbc="T T T"
Pu 0.000 0.000 0.000
Co 0.000 2.429 2.111
Co 0.000 2.429 4.536
Co 2.103 1.214 2.111
Co 2.103 1.214 4.536
Ge 0.000 0.000 3.323
H -1.052 1.821 1.014
H -1.052 1.821 5.633
H 2.103 0.000 1.014
H 2.103 0.000 5.633
H 1.052 1.821 1.014
H 1.052 1.821 5.633
```

Values from the calculation:
E: -5.7439 eV per atom
Calculated volume: 8.5 Å³/atom
Space-group type: P6/mmm



Entry from the Alexandria database: a geometry-optimized SrIn2Rh structure (PBE-GGA).

The structure in extended XYZ format:
```
4
Lattice="3.505 0.000 0.000 0.000 4.667 0.000 -1.650 0.000 6.054" Properties=species:S:1:pos:R:3 pbc="T T T"
Sr 0.000 0.000 0.000
In 0.065 2.334 4.270
In 1.790 2.334 1.784
Rh 0.927 0.000 3.027
```

Values from the calculation:
E: -3.8455 eV per atom
DFT formation energy: -0.87 eV/f.u.
Calculated volume: 24.8 Å³/atom
Space-group type: P2/m



Entry from the Alexandria database: a geometry-optimized BaCeB12 structure (PBE-GGA).

The structure in extended XYZ format:
```
14
Lattice="0.000 4.192 4.192 4.192 0.000 4.192 4.192 4.192 0.000" Properties=species:S:1:pos:R:3 pbc="T T T"
Ba 0.000 0.000 0.000
Ce 4.192 4.192 4.192
B 2.096 2.096 0.844
B 2.096 0.844 2.096
B 3.349 2.096 2.096
B 0.844 2.096 2.096
B 2.096 3.349 2.096
B 2.096 2.096 3.349
B 6.289 6.289 5.036
B 6.289 5.036 6.289
B 7.541 6.289 6.289
B 5.036 6.289 6.289
B 6.289 7.541 6.289
B 6.289 6.289 7.541
```

Values from the calculation:
E: -6.7383 eV per atom
DFT formation energy: -6.35 eV/f.u.
Calculated volume: 10.5 Å³/atom
Space-group type: Fm-3m



Entry from the Alexandria database: a geometry-optimized YZrSi structure (PBE-GGA).

The structure in extended XYZ format:
```
3
Lattice="4.541 0.000 0.000 -2.270 3.932 0.000 0.000 0.000 3.910" Properties=species:S:1:pos:R:3 pbc="T T T"
Y 0.000 0.000 0.000
Zr 2.270 1.311 1.900
Si 0.000 2.622 2.434
```

Values from the calculation:
E: -7.0645 eV per atom
Raw formation energy: -253 meV/atom
Calculated volume: 23.3 Å³/atom
Space-group type: P3m1



Entry from the Alexandria database: a geometry-optimized Tb5Dy2Er12 structure (PBE-GGA).

The structure in extended XYZ format:
```
19
Lattice="6.439 0.000 0.000 -1.211 8.698 0.000 -0.628 -3.933 10.571" Properties=species:S:1:pos:R:3 pbc="T T T"
Tb 0.000 0.000 0.000
Tb -0.366 5.852 7.372
Tb 2.215 4.191 2.964
Tb 2.384 0.575 7.606
Tb 4.966 -1.086 3.198
Dy 0.685 2.694 5.706
Dy 3.915 2.072 4.865
Er -0.918 4.998 3.912
Er -0.226 2.087 2.436
Er 0.347 -0.293 10.137
Er 0.816 6.642 1.458
Er 1.737 -0.547 4.460
Er 1.562 3.584 9.125
Er 3.037 1.182 1.446
Er 2.863 5.313 6.111
Er 3.784 -1.876 9.112
Er 4.253 5.059 0.433
Er 4.826 2.679 8.135
Er 5.518 -0.232 6.659
```

Values from the calculation:
E: -4.4926 eV per atom
DFT formation energy: 1.75 eV/f.u.
E above lowest polymorph: 0 meV per atom
Calculated volume: 31.2 Å³/atom
Space-group type: P-1